# HgS2NO, optimized geometry, DFT PBE
# - Total magnetization: 2.334 μB/f.u.
# - E_tot: -2.8849 eV per atom
# - Space-group type: P4/mmm (123)
data_HgS2NO
_chemical_formula_sum 'Hg1 S2 N1 O1'
_cell_length_a 4.276
_cell_length_b 4.276
_cell_length_c 4.220
_cell_angle_alpha 90.00
_cell_angle_beta 90.00
_cell_angle_gamma 90.00
_symmetry_space_group_name_H-M 'P 1'
_symmetry_Int_Tables_number 1
loop_
_symmetry_equiv_pos_as_xyz
'x,y,z'
loop_
_atom_site_label
_atom_site_type_symbol
_atom_site_fract_x
_atom_site_fract_y
_atom_site_fract_z
Hg1 Hg 0.000 0.000 0.000
S1 S 0.000 0.500 0.500
S2 S 0.500 0.000 0.500
N1 N 0.500 0.500 0.000
O1 O 0.500 0.500 0.500

# HgS2NO, optimized geometry, DFT PBE
# - Total magnetization: 3.399 μB/f.u.
# - E_tot: -2.1996 eV per atom
# - Space-group type: P4/mmm (123)
data_HgS2NO
_chemical_formula_sum 'Hg1 S2 N1 O1'
_cell_length_a 5.117
_cell_length_b 5.117
_cell_length_c 4.235
_cell_angle_alpha 90.00
_cell_angle_beta 90.00
_cell_angle_gamma 90.00
_symmetry_space_group_name_H-M 'P 1'
_symmetry_Int_Tables_number 1
loop_
_symmetry_equiv_pos_as_xyz
'x,y,z'
loop_
_atom_site_label
_atom_site_type_symbol
_atom_site_fract_x
_atom_site_fract_y
_atom_site_fract_z
Hg1 Hg 0.000 0.000 0.000
S1 S 0.000 0.500 0.000
S2 S 0.500 0.000 0.000
N1 N 0.000 0.000 0.500
O1 O 0.500 0.500 0.500

# HgSbNO2, optimized geometry, DFT PBE
# - Total magnetization: 0.001 μB/f.u.
# - E_tot: -4.5360 eV per atom
# - Space-group type: P4/mmm (123)
data_HgSbNO2
_chemical_formula_sum 'Hg1 Sb1 N1 O2'
_cell_length_a 3.938
_cell_length_b 3.938
_cell_length_c 4.294
_cell_angle_alpha 90.00
_cell_angle_beta 90.00
_cell_angle_gamma 90.00
_symmetry_space_group_name_H-M 'P 1'
_symmetry_Int_Tables_number 1
loop_
_symmetry_equiv_pos_as_xyz
'x,y,z'
loop_
_atom_site_label
_atom_site_type_symbol
_atom_site_fract_x
_atom_site_fract_y
_atom_site_fract_z
Hg1 Hg 0.000 0.000 0.000
Sb1 Sb 0.500 0.500 0.500
N1 N 0.500 0.500 0.000
O1 O 0.000 0.500 0.500
O2 O 0.500 0.000 0.500

# HgSbNO2, optimized geometry, DFT PBE
# - Total magnetization: 0.000 μB/f.u.
# - E_tot: -3.6265 eV per atom
# - Space-group type: P4/mmm (123)
data_HgSbNO2
_chemical_formula_sum 'Hg1 Sb1 N1 O2'
_cell_length_a 4.162
_cell_length_b 4.162
_cell_length_c 4.262
_cell_angle_alpha 90.00
_cell_angle_beta 90.00
_cell_angle_gamma 90.00
_symmetry_space_group_name_H-M 'P 1'
_symmetry_Int_Tables_number 1
loop_
_symmetry_equiv_pos_as_xyz
'x,y,z'
loop_
_atom_site_label
_atom_site_type_symbol
_atom_site_fract_x
_atom_site_fract_y
_atom_site_fract_z
Hg1 Hg 0.000 0.000 0.000
Sb1 Sb 0.500 0.500 0.500
N1 N 0.000 0.000 0.500
O1 O 0.000 0.500 0.000
O2 O 0.500 0.000 0.000

# ScHgNO2, optimized geometry, DFT PBE
# - Total magnetization: 0.000 μB/f.u.
# - E_tot: -4.7715 eV per atom
# - Space-group type: P4/mmm (123)
data_ScHgNO2
_chemical_formula_sum 'Sc1 Hg1 N1 O2'
_cell_length_a 4.114
_cell_length_b 4.114
_cell_length_c 4.159
_cell_angle_alpha 90.00
_cell_angle_beta 90.00
_cell_angle_gamma 90.00
_symmetry_space_group_name_H-M 'P 1'
_symmetry_Int_Tables_number 1
loop_
_symmetry_equiv_pos_as_xyz
'x,y,z'
loop_
_atom_site_label
_atom_site_type_symbol
_atom_site_fract_x
_atom_site_fract_y
_atom_site_fract_z
Sc1 Sc 0.000 0.000 0.000
Hg1 Hg 0.500 0.500 0.500
N1 N 0.500 0.500 0.000
O1 O 0.000 0.500 0.500
O2 O 0.500 0.000 0.500

# ScHgNO2, optimized geometry, DFT PBE
# - Total magnetization: 2.134 μB/f.u.
# - E_tot: -5.5028 eV per atom
# - Space-group type: P4/mmm (123)
data_ScHgNO2
_chemical_formula_sum 'Sc1 Hg1 N1 O2'
_cell_length_a 4.089
_cell_length_b 4.089
_cell_length_c 4.357
_cell_angle_alpha 90.00
_cell_angle_beta 90.00
_cell_angle_gamma 90.00
_symmetry_space_group_name_H-M 'P 1'
_symmetry_Int_Tables_number 1
loop_
_symmetry_equiv_pos_as_xyz
'x,y,z'
loop_
_atom_site_label
_atom_site_type_symbol
_atom_site_fract_x
_atom_site_fract_y
_atom_site_fract_z
Sc1 Sc 0.000 0.000 0.000
Hg1 Hg 0.500 0.500 0.500
N1 N 0.000 0.000 0.500
O1 O 0.000 0.500 0.000
O2 O 0.500 0.000 0.000

# HgSeNO2, optimized geometry, DFT PBE
# - Total magnetization: 0.000 μB/f.u.
# - E_tot: -3.8010 eV per atom
# - Space-group type: P4/mmm (123)
data_HgSeNO2
_chemical_formula_sum 'Hg1 Se1 N1 O2'
_cell_length_a 3.773
_cell_length_b 3.773
_cell_length_c 4.366
_cell_angle_alpha 90.00
_cell_angle_beta 90.00
_cell_angle_gamma 90.00
_symmetry_space_group_name_H-M 'P 1'
_symmetry_Int_Tables_number 1
loop_
_symmetry_equiv_pos_as_xyz
'x,y,z'
loop_
_atom_site_label
_atom_site_type_symbol
_atom_site_fract_x
_atom_site_fract_y
_atom_site_fract_z
Hg1 Hg 0.000 0.000 0.000
Se1 Se 0.500 0.500 0.500
N1 N 0.500 0.500 0.000
O1 O 0.000 0.500 0.500
O2 O 0.500 0.000 0.500

# HgSe2NO, optimized geometry, DFT PBE
# - Total magnetization: 5.962 μB/f.u.
# - E_tot: -2.2975 eV per atom
# - Space-group type: P4/mmm (123)
data_HgSe2NO
_chemical_formula_sum 'Hg1 Se2 N1 O1'
_cell_length_a 5.453
_cell_length_b 5.453
_cell_length_c 4.209
_cell_angle_alpha 90.00
_cell_angle_beta 90.00
_cell_angle_gamma 90.00
_symmetry_space_group_name_H-M 'P 1'
_symmetry_Int_Tables_number 1
loop_
_symmetry_equiv_pos_as_xyz
'x,y,z'
loop_
_atom_site_label
_atom_site_type_symbol
_atom_site_fract_x
_atom_site_fract_y
_atom_site_fract_z
Hg1 Hg 0.000 0.000 0.000
Se1 Se 0.000 0.500 0.000
Se2 Se 0.500 0.000 0.000
N1 N 0.000 0.000 0.500
O1 O 0.500 0.500 0.500

# Hg2SeNO, optimized geometry, DFT PBE
# - Total magnetization: 2.483 μB/f.u.
# - E_tot: -2.4489 eV per atom
# - Space-group type: P4/mmm (123)
data_Hg2SeNO
_chemical_formula_sum 'Hg2 Se1 N1 O1'
_cell_length_a 5.613
_cell_length_b 5.613
_cell_length_c 3.814
_cell_angle_alpha 90.00
_cell_angle_beta 90.00
_cell_angle_gamma 90.00
_symmetry_space_group_name_H-M 'P 1'
_symmetry_Int_Tables_number 1
loop_
_symmetry_equiv_pos_as_xyz
'x,y,z'
loop_
_atom_site_label
_atom_site_type_symbol
_atom_site_fract_x
_atom_site_fract_y
_atom_site_fract_z
Hg1 Hg 0.000 0.500 0.000
Hg2 Hg 0.500 0.000 0.000
Se1 Se 0.000 0.000 0.000
N1 N 0.500 0.500 0.500
O1 O 0.000 0.000 0.500

# HgSe2NO, optimized geometry, DFT PBE
# - Total magnetization: 2.355 μB/f.u.
# - E_tot: -2.8468 eV per atom
# - Space-group type: P4/mmm (123)
data_HgSe2NO
_chemical_formula_sum 'Hg1 Se2 N1 O1'
_cell_length_a 4.507
_cell_length_b 4.507
_cell_length_c 4.271
_cell_angle_alpha 90.00
_cell_angle_beta 90.00
_cell_angle_gamma 90.00
_symmetry_space_group_name_H-M 'P 1'
_symmetry_Int_Tables_number 1
loop_
_symmetry_equiv_pos_as_xyz
'x,y,z'
loop_
_atom_site_label
_atom_site_type_symbol
_atom_site_fract_x
_atom_site_fract_y
_atom_site_fract_z
Hg1 Hg 0.000 0.000 0.000
Se1 Se 0.000 0.500 0.500
Se2 Se 0.500 0.000 0.500
N1 N 0.500 0.500 0.000
O1 O 0.500 0.500 0.500

# HgSeNO2, optimized geometry, DFT PBE
# - Total magnetization: 0.002 μB/f.u.
# - E_tot: -2.8852 eV per atom
# - Space-group type: P4/mmm (123)
data_HgSeNO2
_chemical_formula_sum 'Hg1 Se1 N1 O2'
_cell_length_a 4.136
_cell_length_b 4.136
_cell_length_c 4.281
_cell_angle_alpha 90.00
_cell_angle_beta 90.00
_cell_angle_gamma 90.00
_symmetry_space_group_name_H-M 'P 1'
_symmetry_Int_Tables_number 1
loop_
_symmetry_equiv_pos_as_xyz
'x,y,z'
loop_
_atom_site_label
_atom_site_type_symbol
_atom_site_fract_x
_atom_site_fract_y
_atom_site_fract_z
Hg1 Hg 0.000 0.000 0.000
Se1 Se 0.500 0.500 0.500
N1 N 0.000 0.000 0.500
O1 O 0.000 0.500 0.000
O2 O 0.500 0.000 0.000

# SiHgN2O, optimized geometry, DFT PBE
# - Total magnetization: 2.347 μB/f.u.
# - E_tot: -3.4186 eV per atom
# - Space-group type: P4/mmm (123)
data_SiHgN2O
_chemical_formula_sum 'Si1 Hg1 N2 O1'
_cell_length_a 4.220
_cell_length_b 4.220
_cell_length_c 4.285
_cell_angle_alpha 90.00
_cell_angle_beta 90.00
_cell_angle_gamma 90.00
_symmetry_space_group_name_H-M 'P 1'
_symmetry_Int_Tables_number 1
loop_
_symmetry_equiv_pos_as_xyz
'x,y,z'
loop_
_atom_site_label
_atom_site_type_symbol
_atom_site_fract_x
_atom_site_fract_y
_atom_site_fract_z
Si1 Si 0.000 0.000 0.000
Hg1 Hg 0.500 0.500 0.500
N1 N 0.000 0.500 0.500
N2 N 0.500 0.000 0.500
O1 O 0.500 0.500 0.000